A plane-wave DFT calculation with GGA-PBE was carried out for a relaxed structure of Cu2Ag.

Structure (POSCAR):
```
Cu2Ag
1.0
4.3363 -1.8726 0.0000
4.3363 1.8726 0.0000
-2.7233 0.0000 7.7120
Ag Cu
3 6
Direct
0.3313 0.3313 0.0998
0.6656 0.6656 0.2244
0.6704 0.6704 0.5652
0.9985 0.9985 0.3437
0.3427 0.3427 0.4555
0.0020 0.0020 0.6731
0.3421 0.3421 0.7773
0.6560 0.6560 0.8814
0.9913 0.9913 0.9797
```

The excess energy over the best structure of this formula in the dataset is 43.6 meV/atom. The energy of formation comes out at 89 meV/atom.

---

A plane-wave DFT calculation with GGA-PBE was carried out for a relaxed structure of LaNd2Bi2.

Structure (POSCAR):
```
LaNd2Bi2
1.0
2.3245 -5.8964 0.0000
2.3245 5.8964 0.0000
0.0000 0.0000 12.9490
Bi La Nd
4 2 4
Direct
0.9286 0.0714 0.1061
0.9286 0.0714 0.3939
0.0714 0.9286 0.6061
0.0714 0.9286 0.8939
0.5474 0.4526 0.2500
0.4526 0.5474 0.7500
0.2337 0.7663 0.1070
0.2337 0.7663 0.3930
0.7663 0.2337 0.6070
0.7663 0.2337 0.8930
```

The energy comes out at -48.71 eV/cell. The total magnetic moment is 0.6 μB/f.u.

---

A plane-wave DFT calculation with GGA-PBE was carried out for a relaxed structure of NaLiU.

Structure (POSCAR):
```
NaLiU
1.0
0.0000 3.6504 3.6504
3.6504 0.0000 3.6504
3.6504 3.6504 0.0000
Li Na U
1 1 1
Direct
0.2500 0.2500 0.2500
0.7500 0.7500 0.7500
0.0000 0.0000 0.0000
```

The excess energy over the best structure of this formula in the dataset is 305.6 meV/atom. The total magnetic moment is 5.0 μB/f.u.

---

A plane-wave DFT calculation with GGA-PBE was carried out for a relaxed structure of Tm5Co2B6.

Structure (POSCAR):
```
Tm5Co2B6
1.0
2.6831 1.5491 7.5759
-2.6831 1.5491 7.5759
0.0000 -3.0981 7.5759
B Co Tm
6 2 5
Direct
0.8312 0.5000 0.1688
0.5000 0.8312 0.1688
0.8312 0.1688 0.5000
0.1688 0.8312 0.5000
0.5000 0.1688 0.8312
0.1688 0.5000 0.8312
0.1185 0.1185 0.1185
0.8815 0.8815 0.8815
0.0000 0.0000 0.0000
0.2519 0.2519 0.2519
0.4157 0.4157 0.4157
0.5843 0.5843 0.5843
0.7481 0.7481 0.7481
```

The energy comes out at -83.93 eV/cell. The total magnetic moment is 0.0 μB/f.u.

---

A plane-wave DFT calculation with GGA-PBE was carried out for a relaxed structure of Gd2Lu2In.

Structure (POSCAR):
```
Gd2Lu2In
1.0
8.0192 0.0000 0.0000
0.0000 8.0192 0.0000
0.0000 0.0000 4.6597
Gd In Lu
4 2 4
Direct
0.3467 0.1533 0.5000
0.8467 0.3467 0.5000
0.1533 0.6533 0.5000
0.6533 0.8467 0.5000
0.0000 0.0000 0.0000
0.5000 0.5000 0.0000
0.6468 0.1468 0.0000
0.1468 0.3532 0.0000
0.8532 0.6468 0.0000
0.3532 0.8532 0.0000
```

The energy comes out at -42.37 eV/cell. The total magnetic moment is 0.0 μB/f.u.

---

A plane-wave DFT calculation with GGA-PBE was carried out for a relaxed structure of LaTcB4.

Structure (POSCAR):
```
LaTcB4
1.0
-1.5872 2.7431 3.8344
1.5872 -2.7431 3.8344
1.5872 2.7431 -3.8344
B La Tc
4 1 1
Direct
0.5820 0.2433 0.3388
0.0955 0.7567 0.3388
0.9045 0.2433 0.6612
0.4180 0.7567 0.6612
0.0000 0.0000 0.0000
0.5000 0.5000 0.0000
```

The excess energy over the best structure of this formula in the dataset is 216.0 meV/atom. The total magnetic moment is 0.0 μB/f.u.

---

A plane-wave DFT calculation with GGA-PBE was carried out for a relaxed structure of Dy2Tm2AlNi2Ge4.

Structure (POSCAR):
```
Dy2Tm2AlNi2Ge4
1.0
-3.5023 3.9115 5.9087
-3.8199 -0.1908 6.9174
6.7546 -0.2033 1.3000
Al Dy Ge Ni Tm
1 2 4 2 2
Direct
0.0000 0.0000 0.0000
0.5900 0.5900 0.3866
0.4100 0.4100 0.6134
0.2011 0.2011 0.2659
0.9363 0.9363 0.3289
0.0637 0.0637 0.6711
0.7989 0.7989 0.7341
0.7829 0.7829 0.3525
0.2171 0.2171 0.6475
0.3452 0.3452 0.0609
0.6548 0.6548 0.9391
```

The energy comes out at -60.17 eV/cell. The total magnetic moment is 0.0 μB/f.u.

---

A plane-wave DFT calculation with GGA-PBE was carried out for a relaxed structure of Gd3Co.

Structure (POSCAR):
```
Gd3Co
1.0
5.6863 -0.2408 -1.9579
3.1351 5.1317 -0.2501
-3.4317 -2.9022 4.0032
Co Gd
1 3
Direct
0.0000 0.0000 0.0000
0.5000 0.5000 0.0000
0.7500 0.2500 0.5000
0.2500 0.7500 0.5000
```

The energy of formation comes out at 316 meV/atom. The total magnetic moment is 0.0 μB/f.u.

---

A plane-wave DFT calculation with GGA-PBE was carried out for a relaxed structure of Nd4PtBr5.

Structure (POSCAR):
```
Nd4PtBr5
1.0
9.5154 -2.0634 0.0000
9.5154 2.0634 0.0000
-2.0976 0.0000 8.5399
Br Nd Pt
5 4 1
Direct
0.8272 0.8272 0.1589
0.1682 0.1682 0.3396
0.5000 0.5000 0.5000
0.8318 0.8318 0.6604
0.1728 0.1728 0.8411
0.6543 0.6543 0.0867
0.0008 0.0008 0.2232
0.9992 0.9992 0.7768
0.3457 0.3457 0.9133
0.5000 0.5000 0.0000
```

The energy comes out at -48.81 eV/cell. The total magnetic moment is 0.7 μB/f.u.

---

A plane-wave DFT calculation with GGA-PBE was carried out for a relaxed structure of YTlCoOs.

Structure (POSCAR):
```
YTlCoOs
1.0
0.0000 3.3672 3.3672
3.3672 0.0000 3.3672
3.3672 3.3672 0.0000
Co Os Tl Y
1 1 1 1
Direct
0.7500 0.7500 0.7500
0.5000 0.5000 0.5000
0.0000 0.0000 0.0000
0.2500 0.2500 0.2500
```

The excess energy over the best structure of this formula in the dataset is 145.8 meV/atom. The total magnetic moment is 3.0 μB/f.u.

---

A plane-wave DFT calculation with GGA-PBE was carried out for a relaxed structure of Tb2DyIn3IrAu2.

Structure (POSCAR):
```
Tb2DyIn3IrAu2
1.0
-3.3648 2.0342 0.4680
-3.3957 -4.3822 -5.3669
-0.2436 -2.1095 7.4181
Au Dy In Ir Tb
2 1 3 1 2
Direct
0.5000 0.6658 0.3336
0.5000 0.3336 0.6658
0.0000 0.3963 0.3963
0.5000 0.2546 0.0003
0.5000 0.0003 0.2546
0.5000 0.7456 0.7456
0.0000 0.0006 0.0006
0.0000 0.6030 0.0000
0.0000 0.0000 0.6030
```

The energy comes out at -44.11 eV/cell. The total magnetic moment is 0.0 μB/f.u.

---

A plane-wave DFT calculation with GGA-PBE was carried out for a relaxed structure of Sr2NdPdPt2Pb3.

Structure (POSCAR):
```
Sr2NdPdPt2Pb3
1.0
-0.9943 0.1349 3.9583
7.5718 2.0497 1.8321
-5.3928 5.7793 -1.5515
Nd Pb Pd Pt Sr
1 3 1 2 2
Direct
0.0000 0.4105 0.4105
0.5000 0.9993 0.2586
0.5000 0.7447 0.7447
0.5000 0.2586 0.9993
0.0000 0.0108 0.0108
0.5000 0.6470 0.3371
0.5000 0.3371 0.6470
0.0000 0.5921 0.0000
0.0000 0.0000 0.5921
```

The energy comes out at -42.85 eV/cell. The total magnetic moment is 0.0 μB/f.u.